# GdCuPt4 | Alexandria via LeMat-Bulk | PBE | optimized geometry
data_GdCuPt4
_cell_length_a 7.5493
_cell_length_b 7.5493
_cell_length_c 7.5493
_cell_angle_alpha 90.00
_cell_angle_beta 90.00
_cell_angle_gamma 90.00
_space_group_name_H-M_alt 'F -4 3 m'
_space_group_IT_number 216
_space_group_name_Hall 'F -4 2 3'
loop_
_atom_site_label
_atom_site_fract_x
_atom_site_fract_y
_atom_site_fract_z
_atom_site_occupancy
Gd1 0.0000 0.0000 0.0000 1
Cu1 0.2500 0.2500 0.2500 1
Pt1 0.1244 0.1244 0.6244 1
# Calculated formation energy   -0.62 eV/atom
# M_tot   6.9 μB per formula unit

---

# TaO2F | Alexandria via LeMat-Bulk | PBE | optimized geometry
data_TaO2F
_cell_length_a 3.8892
_cell_length_b 3.8892
_cell_length_c 4.1105
_cell_angle_alpha 90.00
_cell_angle_beta 90.00
_cell_angle_gamma 90.00
_space_group_name_H-M_alt 'P 4/m m m'
_space_group_IT_number 123
_space_group_name_Hall '-P 4 2'
loop_
_atom_site_label
_atom_site_fract_x
_atom_site_fract_y
_atom_site_fract_z
_atom_site_occupancy
Ta1 0.0000 0.0000 0.0000 1
O1 0.0000 0.5000 0.0000 1
F1 0.0000 0.0000 0.5000 1
# M_tot   0.0 μB per formula unit
# Formation energy (no corrections)   -11.6 eV/f.u.

---

# SrIn2W | Alexandria via LeMat-Bulk | PBE | optimized geometry
data_SrIn2W
_cell_length_a 3.2385
_cell_length_b 3.2385
_cell_length_c 31.3636
_cell_angle_alpha 90.00
_cell_angle_beta 90.00
_cell_angle_gamma 120.00
_space_group_name_H-M_alt 'R -3 m'
_space_group_IT_number 166
_space_group_name_Hall '-R 3 2"'
loop_
_atom_site_label
_atom_site_fract_x
_atom_site_fract_y
_atom_site_fract_z
_atom_site_occupancy
Sr1 0.0000 0.0000 0.0000 1
In1 0.0000 0.0000 0.2397 1
W1 0.0000 0.0000 0.5000 1
# Calculated formation energy   0.57 eV/atom
# M_tot   0.6 μB per formula unit
# Excess energy over the best structure of this formula in the dataset   211.3 meV per atom

---

# CrCd2Cl | Alexandria via LeMat-Bulk | PBE | optimized geometry
data_CrCd2Cl
_cell_length_a 3.3987
_cell_length_b 3.3987
_cell_length_c 26.5268
_cell_angle_alpha 90.00
_cell_angle_beta 90.00
_cell_angle_gamma 120.00
_space_group_name_H-M_alt 'R 3 m'
_space_group_IT_number 160
_space_group_name_Hall 'R 3 -2"'
loop_
_atom_site_label
_atom_site_fract_x
_atom_site_fract_y
_atom_site_fract_z
_atom_site_occupancy
Cr1 0.0000 0.0000 0.0000 1
Cd1 0.0000 0.0000 0.5008 1
Cd2 0.0000 0.0000 0.7456 1
Cl1 0.0000 0.0000 0.2739 1
# M_tot   3.9 μB per formula unit
# Formation energy (no corrections)   -0.1 eV/f.u.
# Excess energy over the best structure of this formula in the dataset   0.0 meV per atom